Density functional theory data (PBE-GGA) for crystalline Be2SiTcAu at its relaxed geometry.

Cell lengths 4.189, 4.739, 4.189 Å; angles 90.00, 90.00, 90.00 degrees
Each line ends with the local moment (μB).
Sites, in units of the cell vectors:
Be (0.000, 0.000, 0.500)  -0.03
Be (0.500, 0.000, 0.000)  -0.03
Si (0.000, 0.500, 0.000)  -0.02
Au (0.000, 0.000, 0.000)  -0.02
Tc (0.500, 0.500, 0.500)  1.99

## Properties
Its space group is No. 123. The value obtained for the mass density is 6.810 Mg/m³. The value obtained for the total magnetization is 2.05 μB per cell. The energy relative to the elements, uncorrected comes out at 1073 meV per atom.

---

Density functional theory data (PBE-GGA) for crystalline Th2Be4Si3Au at its relaxed geometry.

Cell lengths 4.050, 4.050, 9.644 Å; angles 90.00, 90.00, 90.00 degrees
Sites, in units of the cell vectors:
Th (0.500, 0.000, 0.241)
Th (0.000, 0.500, 0.759)
Be (0.500, 0.500, 0.000)
Be (0.000, 0.000, 0.000)
Be (0.500, 0.000, 0.635)
Be (0.000, 0.500, 0.365)
Si (0.000, 0.000, 0.500)
Si (0.500, 0.000, 0.875)
Si (0.000, 0.500, 0.125)
Au (0.500, 0.500, 0.500)

## Properties
Its space group is No. 115. The value obtained for the mass density is 8.204 Mg/m³. The value obtained for the total magnetization is 0.00 μB per cell. The energy relative to the elements, uncorrected comes out at -417 meV per atom.